1.
! BaTlAg2 | the Alexandria database | SCAN | PBEsol geometry; values from VASP
&SYSTEM
  ibrav = 0, nat = 4, ntyp = 3
/
ATOMIC_SPECIES
Tl 204.38 Tl.upf
Ba 137.33 Ba.upf
Ag 107.87 Ag.upf
CELL_PARAMETERS angstrom
4.8478 0.0000 0.0000
2.4239 4.1983 0.0000
2.4239 1.3994 5.5104
ATOMIC_POSITIONS angstrom
Tl 0.0000 0.0000 0.0000
Ba 4.8478 2.7989 2.7552
Ag 7.2717 4.1983 4.9469
Ag 2.4239 1.3994 0.5635
! Formation energy = -19.9 kJ/mol of atoms
! Total magnetic moment = 0.0 μB/cell
! Distance to the lowest polymorph of the same formula = 0.13 eV/f.u.

2.
! BeTe2Mo | the Alexandria database | SCAN | PBEsol geometry; values from VASP
&SYSTEM
  ibrav = 0, nat = 4, ntyp = 3
/
ATOMIC_SPECIES
Be 9.01 Be.upf
Mo 95.94 Mo.upf
Te 127.60 Te.upf
CELL_PARAMETERS angstrom
3.4335 0.0000 0.0000
1.7167 2.9735 0.0000
1.7167 0.9912 7.2824
ATOMIC_POSITIONS angstrom
Be 3.4335 1.9823 3.6412
Mo 0.0000 0.0000 0.0000
Te 1.7167 0.9912 1.9391
Te 5.1502 2.9735 5.3433
! Raw formation energy = 33.4 kJ/mol of atoms
! Total magnetic moment = 0.0 μB/cell

3.
! Hf2GeP | the Alexandria database | SCAN | PBEsol geometry; values from VASP
&SYSTEM
  ibrav = 0, nat = 4, ntyp = 3
/
ATOMIC_SPECIES
P 30.97 P.upf
Ge 72.64 Ge.upf
Hf 178.49 Hf.upf
CELL_PARAMETERS angstrom
4.5937 0.0000 0.0000
2.2969 3.9783 0.0000
2.2969 1.3261 3.7508
ATOMIC_POSITIONS angstrom
P 0.0000 0.0000 0.0000
Ge 4.5937 2.6522 1.8754
Hf 2.2969 1.3261 0.9377
Hf 6.8906 3.9783 2.8131
! Formation energy = -47.8 kJ/mol of atoms
! Total magnetic moment = 0.0 μB/cell

4.
! ZrTc3 | the Alexandria database | SCAN | PBEsol geometry; values from VASP
&SYSTEM
  ibrav = 0, nat = 4, ntyp = 2
/
ATOMIC_SPECIES
Tc 98.00 Tc.upf
Zr 91.22 Zr.upf
CELL_PARAMETERS angstrom
-1.2397 -0.4736 -2.4137
-0.7867 -1.8887 1.8442
-6.6096 5.0923 2.3957
ATOMIC_POSITIONS angstrom
Tc -1.5579 1.2002 0.5647
Tc -5.0518 3.8920 1.8311
Tc -1.0132 -1.1812 -0.2848
Zr -4.3180 1.3650 0.9131
! Formation energy = 9.3 kJ/mol of atoms
! Total magnetic moment = 0.0 μB/cell

5.
! RbRu2I | the Alexandria database | SCAN | PBEsol geometry; values from VASP
&SYSTEM
  ibrav = 0, nat = 4, ntyp = 3
/
ATOMIC_SPECIES
I 126.90 I.upf
Ru 101.07 Ru.upf
Rb 85.47 Rb.upf
CELL_PARAMETERS angstrom
-2.1870 1.7300 -3.8178
-1.2012 -2.8858 -3.5469
-4.5502 -1.0176 -0.7819
ATOMIC_POSITIONS angstrom
I -3.9692 -1.0867 -4.0733
Ru -1.9846 -0.5433 -2.0366
Ru -5.9538 -1.6300 -6.1099
Rb 0.0000 0.0000 0.0000
! Raw formation energy = 152.1 kJ/mol of atoms
! Total magnetic moment = 0.0 μB/cell

6.
! La2TeBr | the Alexandria database | SCAN | PBEsol geometry; values from VASP
&SYSTEM
  ibrav = 0, nat = 4, ntyp = 3
/
ATOMIC_SPECIES
Te 127.60 Te.upf
Br 79.90 Br.upf
La 138.91 La.upf
CELL_PARAMETERS angstrom
-2.3318 -0.4654 -3.6239
1.4393 -4.0684 -0.4037
-4.9613 -2.0987 3.4618
ATOMIC_POSITIONS angstrom
Te -2.0907 -0.8844 1.4589
Br -4.6100 -4.0283 0.8916
La -4.5648 -1.9310 3.1852
La -2.0301 -2.9369 -0.9086
! Raw formation energy = -152.5 kJ/mol of atoms
! Total magnetic moment = 0.0 μB/cell
! Distance to the lowest polymorph of the same formula = 0.00 eV/f.u.

7.
! KSrBi | the Alexandria database | SCAN | PBEsol geometry; values from VASP
&SYSTEM
  ibrav = 0, nat = 12, ntyp = 3
/
ATOMIC_SPECIES
Sr 87.62 Sr.upf
K 39.10 K.upf
Bi 208.98 Bi.upf
CELL_PARAMETERS angstrom
-2.2179 4.7397 -1.6892
-8.1888 -3.5243 0.8631
-0.3750 3.1710 9.3897
ATOMIC_POSITIONS angstrom
Sr -8.9366 3.4928 8.1088
Sr -6.0676 0.2142 4.0928
Sr -1.8452 0.8936 0.4549
Sr -4.7141 4.1721 4.4709
K -9.8495 1.1061 2.6109
K -5.0809 1.9775 7.7448
K -0.9322 3.2802 5.9528
K -5.7008 2.4088 0.8188
Bi -3.8152 5.6156 7.3408
Bi -2.9819 1.4610 3.5394
Bi -6.9665 -1.2293 1.2228
Bi -7.7998 2.9254 5.0242
! Formation energy = -76.0 kJ/mol of atoms
! Total magnetic moment = 0.2 μB/cell

8.
! Dy2Ga9Co3 | the Alexandria database | SCAN | PBEsol geometry; values from VASP
&SYSTEM
  ibrav = 0, nat = 28, ntyp = 3
/
ATOMIC_SPECIES
Dy 162.50 Dy.upf
Ga 69.72 Ga.upf
Co 58.93 Co.upf
CELL_PARAMETERS angstrom
7.2397 0.0074 0.0000
-3.5963 6.2834 0.0000
0.0000 0.0000 9.2617
ATOMIC_POSITIONS angstrom
Dy -1.1703 2.0823 6.9463
Dy 1.2549 6.2697 2.3154
Dy 4.8138 4.2084 2.3154
Dy 2.3886 0.0211 6.9463
Ga -1.2003 2.1006 0.6663
Ga 1.2241 6.2866 8.5954
Ga -1.2003 2.1006 3.9645
Ga 1.2241 6.2866 5.2972
Ga 4.8438 4.1902 8.5954
Ga 2.4193 0.0041 0.6663
Ga 4.8438 4.1902 5.2972
Ga 2.4193 0.0041 3.9645
Ga 2.4281 4.1923 0.5371
Ga 1.2154 2.0984 8.7246
Ga 2.4281 4.1923 4.0937
Ga 1.2154 2.0984 5.1680
Ga 0.4416 0.7625 2.3154
Ga 3.2018 5.5282 6.9463
Ga 3.1866 2.8289 6.9463
Ga 2.7754 2.1190 2.3154
Ga 0.4569 3.4619 2.3154
Ga 0.8680 4.1717 6.9463
Co 0.0000 0.0000 0.0000
Co 0.0000 0.0000 4.6309
Co 3.6734 2.0730 0.0000
Co 3.6734 2.0730 4.6309
Co -0.0299 4.2178 0.0000
Co -0.0299 4.2178 4.6309
! Formation energy = -49.1 kJ/mol of atoms
! Total magnetic moment = 0.0 μB/cell

What did the seventh record say?
! KSrBi | the Alexandria database | SCAN | PBEsol geometry; values from VASP
&SYSTEM
  ibrav = 0, nat = 12, ntyp = 3
/
ATOMIC_SPECIES
Sr 87.62 Sr.upf
K 39.10 K.upf
Bi 208.98 Bi.upf
CELL_PARAMETERS angstrom
-2.2179 4.7397 -1.6892
-8.1888 -3.5243 0.8631
-0.3750 3.1710 9.3897
ATOMIC_POSITIONS angstrom
Sr -8.9366 3.4928 8.1088
Sr -6.0676 0.2142 4.0928
Sr -1.8452 0.8936 0.4549
Sr -4.7141 4.1721 4.4709
K -9.8495 1.1061 2.6109
K -5.0809 1.9775 7.7448
K -0.9322 3.2802 5.9528
K -5.7008 2.4088 0.8188
Bi -3.8152 5.6156 7.3408
Bi -2.9819 1.4610 3.5394
Bi -6.9665 -1.2293 1.2228
Bi -7.7998 2.9254 5.0242
! Formation energy = -76.0 kJ/mol of atoms
! Total magnetic moment = 0.2 μB/cell

Number 6 is which compound? La2TeBr

What is the total magnetic moment in the second record? 0.0 μB/cell